(1)
Entry from Alexandria via LeMat-Bulk: a geometry-optimized Dy5Y6Sc structure (PBE).

Cell: 6.1204 6.1204 11.7145 Å, 94.98 94.98 119.95°
Element x y z (fractional)
Dy1 0.0000 0.0000 0.0000
Dy2 0.1666 0.8334 0.5000
Dy3 0.3336 0.6664 0.0000
Dy4 0.6664 0.3336 0.0000
Dy5 0.8334 0.1666 0.5000
Y1 0.0870 0.4180 0.2525
Y2 0.2510 0.2510 0.7477
Y3 0.4180 0.0870 0.2525
Y4 0.5820 0.9130 0.7475
Y5 0.7490 0.7490 0.2523
Y6 0.9130 0.5820 0.7475
Sc1 0.5000 0.5000 0.5000

Computed properties:
Crystal system = monoclinic
Raw total energy = -0.20745 Ha/atom
Formation energy from the elements = 0.39 eV/f.u.



(2)
Entry from Alexandria via LeMat-Bulk: a geometry-optimized La4CeSm2 structure (PBE).

Cell: 7.3620 7.3620 9.4370 Å, 90.46 90.46 103.26°
Element x y z (fractional)
La1 0.0814 0.6868 0.6046
La2 0.1561 0.2312 0.7124
La3 0.2312 0.1561 0.2124
La4 0.3132 0.9186 0.8954
La5 0.6868 0.0814 0.1046
La6 0.7688 0.8439 0.7876
La7 0.8439 0.7688 0.2876
La8 0.9186 0.3132 0.3954
Ce1 0.2949 0.7051 0.2500
Ce2 0.7051 0.2949 0.7500
Sm1 0.0000 0.5000 0.0000
Sm2 0.5000 0.0000 0.5000
Sm3 0.5000 0.5000 0.0000
Sm4 0.5000 0.5000 0.5000

Computed properties:
Crystal system = monoclinic
Raw total energy = -0.17710 Ha/atom
Formation energy from the elements = 1.35 eV/f.u.



(3)
Entry from Alexandria via LeMat-Bulk: a geometry-optimized SmCd5Hg4 structure (PBE).

Cell: 8.6159 8.6159 7.0581 Å, 113.59 113.59 33.45°
Element x y z (fractional)
Sm1 0.0000 0.0000 0.0000
Cd1 0.0000 0.0000 0.5000
Cd2 0.1802 0.1802 0.4473
Cd3 0.3425 0.3425 0.8441
Cd4 0.6575 0.6575 0.1559
Cd5 0.8198 0.8198 0.5527
Hg1 0.1756 0.1756 0.9055
Hg2 0.4959 0.4959 0.7151
Hg3 0.5041 0.5041 0.2849
Hg4 0.8244 0.8244 0.0945

Computed properties:
Crystal system = monoclinic
Raw total energy = -0.04334 Ha/atom
Formation energy from the elements = -1.29 eV/f.u.



(4)
Entry from Alexandria via LeMat-Bulk: a geometry-optimized SmPuCu2Se4 structure (PBE).

Cell: 6.9008 6.9171 7.6672 Å, 90.00 90.00 90.00°
Element x y z (fractional)
Sm1 0.0000 0.0000 0.0000
Sm2 0.5000 0.5000 0.5000
Pu1 0.0000 0.0000 0.5000
Pu2 0.5000 0.5000 0.0000
Cu1 0.0000 0.5000 0.3308
Cu2 0.0000 0.5000 0.6692
Cu3 0.5000 0.0000 0.1692
Cu4 0.5000 0.0000 0.8308
Se1 0.2448 0.2631 0.2845
Se2 0.2448 0.7369 0.7155
Se3 0.2552 0.2369 0.7845
Se4 0.2552 0.7631 0.2155
Se5 0.7448 0.2369 0.2155
Se6 0.7448 0.7631 0.7845
Se7 0.7552 0.2631 0.7155
Se8 0.7552 0.7369 0.2845

Computed properties:
Crystal system = orthorhombic
Raw total energy = -0.22354 Ha/atom
Raw formation energy = -0.94 eV per atom



- The lowest raw total energy belongs to which entry?
  SmPuCu2Se4



- What is the formula in the third record?
  SmCd5Hg4